DFT (PBE+U) results for Sr2YGaFe2O7 after structural relaxation.

Its symmetry is Ima2, No. 46. For the uncorrected energy, the calculation gives -6.84 eV/atom. The magnetic moment is 16.0 μB/cell.

POSCAR file:
```
Sr2YGaFe2O7
1.0
2.9347 11.5533 0.0510
-2.9347 11.5533 0.0510
0.0000 1.3490 5.4687
Sr Y Ga Fe O
4 2 2 4 14
Cartesian
1.6355 14.0476 0.9823
-1.6357 10.5326 4.7497
-1.6355 14.7222 3.7166
1.6357 9.8581 2.0153
1.4677 6.5227 2.8786
-1.4677 5.8481 0.1442
-1.0397 11.9738 1.5836
1.0397 12.6483 4.3179
-1.4250 8.2676 2.3933
-1.4252 15.6312 0.5773
1.4250 8.9421 5.1277
1.4252 16.3057 3.3116
0.3037 4.8234 1.9346
-0.6302 12.4234 3.4056
-0.3037 5.4979 4.6690
1.8408 10.9893 4.3444
-0.3072 7.6451 0.8450
0.3072 8.3196 3.5794
0.6302 11.7489 0.6713
0.3038 19.8161 4.0378
-0.3038 19.1416 1.3035
-1.8408 10.3148 1.6100
-1.8411 13.4546 0.8351
1.8411 14.1292 3.5694
0.3065 16.1372 1.6522
-0.3065 16.8117 4.3865
```